# Ti2CoOs | Alexandria via LeMat-Bulk | PBE | optimized geometry
data_Ti2CoOs
_space_group_name_H-M_alt 'P 1'
_space_group_IT_number 1
_cell_length_a 5.4410
_cell_length_b 5.4410
_cell_length_c 5.4410
_cell_angle_alpha 151.70
_cell_angle_beta 129.55
_cell_angle_gamma 58.85
loop_
_space_group_symop_operation_xyz
'x,y,z'
loop_
_atom_site_label
_atom_site_type_symbol
_atom_site_fract_x
_atom_site_fract_y
_atom_site_fract_z
Ti1 Ti 0.2350 0.2350 0.0000
Ti2 Ti 0.7650 0.7650 0.0000
Co1 Co 0.0000 0.0000 0.0000
Os1 Os 0.5000 0.5000 0.0000
# Final energy, eV per atom: -8.21
# SG: Immm, No. 71
# Density of states at the Fermi level, states/eV/atom: 0.694
# Energy of formation, eV per atom: 0.32